# Rb2BTeCl6, relaxed, DFT PBE
data_Rb2BTeCl6
_chemical_formula_sum 'Rb4 B2 Te2 Cl12'
_cell_length_a 7.3709
_cell_length_b 7.3709
_cell_length_c 11.2789
_cell_angle_alpha 90.00
_cell_angle_beta 90.00
_cell_angle_gamma 90.00
_symmetry_space_group_name_H-M 'I 4/m m m'
_symmetry_Int_Tables_number 139
_symmetry_space_group_name_Hall '-I 4 2'
loop_
_atom_site_label
_atom_site_fract_x
_atom_site_fract_y
_atom_site_fract_z
Rb1 0.0000 0.5000 0.2500
B1 0.0000 0.0000 0.0000
Te1 0.0000 0.0000 0.5000
Cl1 0.0000 0.0000 0.2699
Cl2 0.1927 0.1927 0.0000
# theoretical density	2.829	g/cm³
# VASP energy	-3.11	eV/atom
# crystal system	tetragonal
# spin magnetization	0.000	μB/f.u.